Computed, not measured: a crystal of ZrSi4 relaxed with PBEsol at the SCAN level of DFT.

- Magnetic moment: 0.0 μB per formula unit
- Formation energy (no corrections): 0.402 eV per atom
- Uncorrected energy: -137.5 eV for the cell shown

a = 5.8800 Å, b = 5.8800 Å, c = 5.8800 Å
α = 90.00°, β = 90.00°, γ = 90.00°
Space group Im-3m (No. 229)
One atom of each set of equivalent atoms:
Zr 0.0000 0.0000 0.0000 (multiplicity 2)
Si 0.2500 0.2500 0.2500 (multiplicity 8)